Entry 1:
## Pu3UGa2 (GGA-PBE)

Data for an optimized crystal structure of Pu3UGa2.

Final energy (eV/cell): -121.50
Mass density (Mg/m³): 14.59
Total moment (μB per atom): 2.44
E_form (eV/atom): -0.069

Lattice parameters (Å, degrees): 7.6969 7.6854 10.5046 63.36 152.95 113.33
With the nearest neighbours (Å) after each atom.
Sites, in units of the cell vectors:
Ga (0.7390, 0.1048, 0.3780)  2 Ga 2.90-3.02, 6 Pu 3.10-3.20, 1 U 3.18
Pu (0.1292, 0.8814, 0.2491)  1 U 2.68
Pu (0.7141, 0.6390, 0.5254)  1 U 2.66, 3 Pu 2.83-2.92
Ga (0.2610, 0.8952, 0.6220)  2 Ga 2.90-3.02, 6 Pu 3.10-3.20, 1 U 3.18
Pu (0.8708, 0.1186, 0.7509)  1 U 2.68
Pu (0.6100, 0.1914, 0.9727)  1 U 2.65, 3 Pu 2.85-2.92
Pu (0.3900, 0.8086, 0.0273)  1 U 2.65, 3 Pu 2.85-2.92
Ga (0.2278, 0.3603, 0.1227)  2 Ga 2.91-3.02, 6 Pu 3.10-3.22, 1 U 3.19
Pu (0.2859, 0.3610, 0.4746)  1 U 2.66, 3 Pu 2.83-2.92
Ga (0.7722, 0.6397, 0.8773)  2 Ga 2.91-3.02, 6 Pu 3.10-3.22, 1 U 3.19
U (0.8168, 0.5633, 0.2516)  3 Pu 2.65-2.68, 2 U 2.75-2.76
U (0.1832, 0.4367, 0.7484)  3 Pu 2.65-2.68, 2 U 2.75-2.76


Entry 2:
## PuUGa4 (GGA-PBE)

Data for an optimized crystal structure of PuUGa4.

Final energy (eV/cell): -39.49
Mass density (Mg/m³): 10.96
Total moment (μB per atom): 1.37
E_form (eV/atom): -0.294

Lattice parameters (Å, degrees): 5.4633 5.4633 5.4633 60.00 60.00 60.00
With the nearest neighbours (Å) after each atom.
Sites, in units of the cell vectors:
Ga (0.1243, 0.6252, 0.6252)  6 Ga 2.73-2.74
Ga (0.6252, 0.1243, 0.6252)  6 Ga 2.73-2.74
Pu (0.2500, 0.2500, 0.2500)  12 Ga 3.20, 4 U 3.35
Ga (0.6252, 0.6252, 0.6252)  6 Ga 2.73-2.74
Ga (0.6252, 0.6252, 0.1243)  6 Ga 2.73-2.74
U (0.0000, 0.0000, 0.0000)  12 Ga 3.20, 4 Pu 3.35


Entry 3:
## PuUGa (GGA-PBE)

Data for an optimized crystal structure of PuUGa.

Final energy (eV/cell): -58.04
Mass density (Mg/m³): 15.37
Total moment (μB per atom): 1.46
E_form (eV/atom): -0.125

Lattice parameters (Å, degrees): 4.7097 5.1064 5.4886 90.00 64.60 90.00
With the nearest neighbours (Å) after each atom.
Sites, in units of the cell vectors:
U (0.7224, 0.2297, 0.5378)  3 Pu 2.55-2.73
Ga (0.4091, 0.2184, 0.1643)  2 Ga 2.89, 5 U 3.00-3.14, 5 Pu 3.00-3.20
Ga (0.5456, 0.7184, 0.8914)  2 Ga 2.89, 5 U 3.00-3.14, 5 Pu 3.00-3.20
Pu (0.8649, 0.8146, 0.2529)  3 U 2.55-2.73
Pu (0.0899, 0.3146, 0.8028)  3 U 2.55-2.73
U (0.2323, 0.7297, 0.5179)  3 Pu 2.55-2.73


The lowest mass density belongs to which entry?
PuUGa4